1.
## PrTi4 (PBE)

Data for crystalline PrTi4 at its relaxed geometry.

Values from the calculation:
ΔH_f (0 K): 1.441 eV per atom
DOS(E_F): 1.629 states/eV per atom

Structure (CIF):
```
data_PrTi4
_chemical_formula_sum 'Pr1 Ti4'
_cell_length_a 4.854
_cell_length_b 4.854
_cell_length_c 4.854
_cell_angle_alpha 90.00
_cell_angle_beta 90.00
_cell_angle_gamma 90.00
_symmetry_space_group_name_H-M 'P m -3 m'
_symmetry_Int_Tables_number 221
_symmetry_space_group_name_Hall '-P 4 2 3'
loop_
_atom_site_label
_atom_site_fract_x
_atom_site_fract_y
_atom_site_fract_z
Pr1 0.000 0.000 0.000
Ti1 0.000 0.000 0.500
Ti2 0.500 0.500 0.500
```

2.
## Tb2Ho7Er4 (PBE)

Data for crystalline Tb2Ho7Er4 at its relaxed geometry.

Values from the calculation:
ΔH_f (0 K): 0.021 eV per atom
DOS(E_F): 1.351 states/eV per atom

Structure (CIF):
```
data_Tb2Ho7Er4
_chemical_formula_sum 'Tb2 Ho7 Er4'
_cell_length_a 6.081
_cell_length_b 7.854
_cell_length_c 9.308
_cell_angle_alpha 65.14
_cell_angle_beta 83.83
_cell_angle_gamma 82.58
_symmetry_space_group_name_H-M 'P -1'
_symmetry_Int_Tables_number 2
loop_
_symmetry_equiv_pos_as_xyz
'x,y,z'
'-x,-y,-z'
loop_
_atom_site_label
_atom_site_fract_x
_atom_site_fract_y
_atom_site_fract_z
Tb1 0.154 0.193 0.384
Ho1 0.000 0.500 0.000
Ho2 0.077 0.346 0.693
Ho3 0.231 0.038 0.077
Ho4 0.385 0.730 0.461
Er1 0.308 0.884 0.770
Er2 0.462 0.577 0.153
```

3.
## SrHo2O (PBE)

Data for crystalline SrHo2O at its relaxed geometry.

Values from the calculation:
formation energy without anion corrections: -1.1311 eV/atom
DOS(E_F): 0.648 states/eV per atom

Structure (CIF):
```
data_SrHo2O
_chemical_formula_sum 'Sr3 Ho6 O3'
_cell_length_a 3.5654
_cell_length_b 3.5654
_cell_length_c 28.4988
_cell_angle_alpha 90.00
_cell_angle_beta 90.00
_cell_angle_gamma 120.00
_symmetry_space_group_name_H-M 'R -3 m'
_symmetry_Int_Tables_number 166
_symmetry_space_group_name_Hall '-R 3 2"'
loop_
_atom_site_label
_atom_site_fract_x
_atom_site_fract_y
_atom_site_fract_z
Sr1 0.0000 0.0000 0.0000
Ho1 0.0000 0.0000 0.1218
O1 0.0000 0.0000 0.5000
```

4.
## DyY5Cd6 (PBE)

Data for crystalline DyY5Cd6 at its relaxed geometry.

Values from the calculation:
ΔH_f (0 K): -0.349 eV per atom
DOS(E_F): 1.052 states/eV per atom

Structure (CIF):
```
data_DyY5Cd6
_chemical_formula_sum 'Dy1 Y5 Cd6'
_cell_length_a 5.293
_cell_length_b 7.508
_cell_length_c 8.380
_cell_angle_alpha 90.00
_cell_angle_beta 108.27
_cell_angle_gamma 90.00
_symmetry_space_group_name_H-M 'P 1 2/m 1'
_symmetry_Int_Tables_number 10
loop_
_symmetry_equiv_pos_as_xyz
'x,y,z'
'-x,-y,-z'
'-x,y,-z'
'x,-y,z'
loop_
_atom_site_label
_atom_site_fract_x
_atom_site_fract_y
_atom_site_fract_z
Dy1 0.000 0.000 0.000
Y1 0.000 0.500 0.000
Y2 0.333 0.000 0.667
Y3 0.333 0.500 0.667
Cd1 0.167 0.250 0.333
Cd2 0.500 0.249 0.000
```

5.
## CuAu (PBE)

Data for crystalline CuAu at its relaxed geometry.

Values from the calculation:
ΔH_f (0 K): -0.019 eV per atom
DOS(E_F): 0.390 states/eV per atom

Structure (CIF):
```
data_CuAu
_chemical_formula_sum 'Cu4 Au4'
_cell_length_a 2.818
_cell_length_b 10.132
_cell_length_c 4.257
_cell_angle_alpha 90.00
_cell_angle_beta 90.00
_cell_angle_gamma 90.00
_symmetry_space_group_name_H-M 'C m c m'
_symmetry_Int_Tables_number 63
_symmetry_space_group_name_Hall '-C 2c 2'
loop_
_atom_site_label
_atom_site_fract_x
_atom_site_fract_y
_atom_site_fract_z
Cu1 0.000 0.069 0.250
Au1 0.000 0.335 0.250
```

6.
## TbBe4Pt2Rh (PBE)

Data for crystalline TbBe4Pt2Rh at its relaxed geometry.

Values from the calculation:
ΔH_f (0 K): -0.733 eV per atom
DOS(E_F): 0.165 states/eV per atom

Structure (CIF):
```
data_TbBe4Pt2Rh
_chemical_formula_sum 'Tb3 Be12 Pt6 Rh3'
_cell_length_a 3.9298
_cell_length_b 3.9298
_cell_length_c 24.1983
_cell_angle_alpha 90.00
_cell_angle_beta 90.00
_cell_angle_gamma 120.00
_symmetry_space_group_name_H-M 'R -3 m'
_symmetry_Int_Tables_number 166
_symmetry_space_group_name_Hall '-R 3 2"'
loop_
_atom_site_label
_atom_site_fract_x
_atom_site_fract_y
_atom_site_fract_z
Tb1 0.0000 0.0000 0.0000
Be1 0.0000 0.0000 0.1344
Be2 0.0000 0.0000 0.4090
Pt1 0.0000 0.0000 0.2423
Rh1 0.0000 0.0000 0.5000
```